The following is a DFT calculation (GGA-PBEsol) of an optimized crystal structure of In3FeRh.

Cell: 4.734 4.734 4.734 Å, 90.00 90.00 90.00°
Sites, in units of the cell vectors:
Rh1 0.500 0.500 0.500
In1 0.000 0.000 0.500
In2 0.500 0.000 0.000
Fe1 0.000 0.000 0.000
In3 0.000 0.500 0.000

Calculated values
As for the crystal system: cubic. For the electronic total energy, the calculation gives -4.51 eV per atom.